DFT (PBE) results for BeTcRh2 after structural relaxation.

Results
ΔH_f (0 K), eV per atom: 0.34

a b c (Å): 3.719 3.719 16.534
angles (deg): 90.00 90.00 90.00
Positions (direct):
Be  0.000  0.000  0.000
Be  0.000  0.500  0.250
Be  0.500  0.000  0.750
Be  0.500  0.500  0.500
Tc  0.000  0.000  0.500
Tc  0.000  0.500  0.750
Tc  0.500  0.000  0.250
Tc  0.500  0.500  0.000
Rh  0.236  0.250  0.125
Rh  0.250  0.736  0.375
Rh  0.250  0.764  0.875
Rh  0.264  0.250  0.625
Rh  0.736  0.750  0.625
Rh  0.750  0.236  0.875
Rh  0.750  0.264  0.375
Rh  0.764  0.750  0.125



DFT (PBE) results for BeTc2Rh after structural relaxation.

Results
ΔH_f (0 K), eV per atom: 0.07

a b c (Å): 2.910 4.476 8.141
angles (deg): 90.00 90.00 90.00
Positions (direct):
Be  0.000  0.000  0.000
Be  0.500  0.500  0.000
Tc  0.000  0.000  0.503
Tc  0.000  0.500  0.235
Tc  0.500  0.000  0.235
Tc  0.500  0.500  0.503
Rh  0.000  0.500  0.789
Rh  0.500  0.000  0.789



DFT (PBE) results for BeTcRh2 after structural relaxation.

Results
ΔH_f (0 K), eV per atom: -0.10

a b c (Å): 2.728 3.783 5.133
angles (deg): 90.00 90.00 90.00
Positions (direct):
Be  0.000  0.000  0.000
Tc  0.500  0.500  0.719
Rh  0.000  0.000  0.499
Rh  0.500  0.500  0.188



DFT (PBE) results for BeTc2Rh after structural relaxation.

Results
ΔH_f (0 K), eV per atom: 0.10

a b c (Å): 2.713 2.713 25.058
angles (deg): 90.00 90.00 120.00
Positions (direct):
Be  0.000  0.000  0.000
Be  0.333  0.667  0.667
Be  0.667  0.333  0.333
Tc  0.000  0.000  0.255
Tc  0.000  0.000  0.745
Tc  0.333  0.667  0.412
Tc  0.333  0.667  0.921
Tc  0.667  0.333  0.079
Tc  0.667  0.333  0.588
Rh  0.000  0.000  0.500
Rh  0.333  0.667  0.167
Rh  0.667  0.333  0.833



DFT (PBE) results for BeTc2Rh after structural relaxation.

Results
ΔH_f (0 K), eV per atom: -0.10

a b c (Å): 9.423 2.811 4.363
angles (deg): 90.00 117.56 90.00
Positions (direct):
Be  0.000  0.000  0.000
Be  0.500  0.500  0.000
Tc  0.273  0.000  0.775
Tc  0.494  0.000  0.495
Tc  0.773  0.500  0.775
Tc  0.994  0.500  0.495
Rh  0.214  0.500  0.216
Rh  0.714  0.000  0.216



DFT (PBE) results for BeTcRh after structural relaxation.

Results
ΔH_f (0 K), eV per atom: -0.19

a b c (Å): 4.210 7.278 4.884
angles (deg): 90.00 90.00 90.00
Positions (direct):
Be  0.000  0.167  0.250
Be  0.000  0.833  0.750
Be  0.500  0.333  0.750
Be  0.500  0.667  0.250
Tc  0.000  0.500  0.000
Tc  0.000  0.500  0.500
Tc  0.500  0.000  0.000
Tc  0.500  0.000  0.500
Rh  0.000  0.166  0.750
Rh  0.000  0.834  0.250
Rh  0.500  0.334  0.250
Rh  0.500  0.666  0.750



Please write out number 5 again, unchanged.
DFT (PBE) results for BeTc2Rh after structural relaxation.

Results
ΔH_f (0 K), eV per atom: -0.10

a b c (Å): 9.423 2.811 4.363
angles (deg): 90.00 117.56 90.00
Positions (direct):
Be  0.000  0.000  0.000
Be  0.500  0.500  0.000
Tc  0.273  0.000  0.775
Tc  0.494  0.000  0.495
Tc  0.773  0.500  0.775
Tc  0.994  0.500  0.495
Rh  0.214  0.500  0.216
Rh  0.714  0.000  0.216



Number 6 is which compound?
BeTcRh



Number 5 is which compound?
BeTc2Rh